[1]
DFT (PBE-GGA) results for an optimized crystal structure of AgBiSb2I.

a = 5.8968 Å, b = 5.8968 Å, c = 6.1557 Å
α = 90.00°, β = 90.00°, γ = 90.00°
Last column: nearest neighbours and their distance in Å.
Sites, in units of the cell vectors:
Ag: 0.5000 0.5000 0.5000  4 I 4.17, 8 Sb 4.26
I: 0.0000 0.0000 0.5000  2 Bi 3.08
Bi: 0.0000 0.0000 0.0000  4 Sb 2.95, 2 I 3.08
Sb: 0.5000 0.0000 0.0000  2 Bi 2.95
Sb: 0.0000 0.5000 0.0000  2 Bi 2.95

Results
Symmetry = P4/mmm, No. 123
Formation energy (no corrections) = 0.84 eV/atom
Relative energy among the computed polymorphs = 0.289 eV/atom
DOS at the Fermi energy = 4.45 states/eV/f.u.

---

[2]
DFT (PBE-GGA) results for an optimized crystal structure of RbTlZn4.

a = 5.8469 Å, b = 5.8469 Å, c = 5.8469 Å
α = 60.00°, β = 60.00°, γ = 60.00°
Last column: nearest neighbours and their distance in Å.
Sites, in units of the cell vectors:
Rb: 0.2500 0.2500 0.2500  12 Zn 3.43, 4 Tl 3.58
Zn: 0.1193 0.6269 0.6269  6 Zn 2.88-2.97
Zn: 0.6269 0.6269 0.6269  6 Zn 2.88-2.97
Zn: 0.6269 0.1193 0.6269  6 Zn 2.88-2.97
Zn: 0.6269 0.6269 0.1193  6 Zn 2.88-2.97
Tl: 0.0000 0.0000 0.0000  12 Zn 3.42, 4 Rb 3.58

Results
Symmetry = F-43m, No. 216
E_form = 0.16 eV per atom
DOS at the Fermi energy = 5.36 states/eV/f.u.

---

[3]
DFT (PBE-GGA) results for an optimized crystal structure of SrAcY2.

a = 3.8082 Å, b = 3.8082 Å, c = 12.6224 Å
α = 81.32°, β = 81.32°, γ = 60.00°
Last column: nearest neighbours and their distance in Å.
Sites, in units of the cell vectors:
Y: 0.7462 0.7462 0.7614  3 Ac 3.69, 6 Y 3.81, 3 Sr 3.92
Y: 0.2538 0.2538 0.2386  3 Ac 3.69, 6 Y 3.81, 3 Sr 3.92
Ac: 0.0000 0.0000 0.0000  6 Y 3.69, 6 Ac 3.81
Sr: 0.5000 0.5000 0.5000  6 Sr 3.81, 6 Y 3.92

Results
Symmetry = R-3m, No. 166
Relative energy among the computed polymorphs = 0.000 eV/atom
E_form = 0.13 eV per atom
DOS at the Fermi energy = 6.93 states/eV/f.u.